# Ba8AgN2 | Alexandria via LeMat-Bulk | PBE | relaxed
# **E_form (uncorrected)**: -236 meV/atom
# **Uncorrected energy**: -3.4068 eV/atom
# **Total moment**: 0.0 μB per formula unit
# **V**: 55.2 A^3/atom
data_Ba8AgN2
_space_group_name_H-M_alt 'P 1'
_space_group_IT_number 1
_cell_length_a 9.524
_cell_length_b 9.524
_cell_length_c 7.620
_cell_angle_alpha 92.98
_cell_angle_beta 92.98
_cell_angle_gamma 61.70
loop_
_space_group_symop_operation_xyz
'x,y,z'
loop_
_atom_site_label
_atom_site_type_symbol
_atom_site_fract_x
_atom_site_fract_y
_atom_site_fract_z
Ba1 Ba 0.111 0.682 0.754
Ba2 Ba 0.164 0.164 0.810
Ba3 Ba 0.318 0.889 0.246
Ba4 Ba 0.320 0.320 0.254
Ba5 Ba 0.680 0.680 0.746
Ba6 Ba 0.682 0.111 0.754
Ba7 Ba 0.836 0.836 0.190
Ba8 Ba 0.889 0.318 0.246
Ag1 Ag 0.000 0.000 0.500
N1 N 0.173 0.173 0.145
N2 N 0.827 0.827 0.855